# 1
Computed, not measured: a geometry-optimized AcHo2PaN4 structure at the PBE level of DFT.

Structure (POSCAR):
```
AcHo2PaN4
1.0
6.1267 0.0000 0.0000
0.0000 3.5661 0.0000
-2.0895 0.0000 5.9268
Ac Ho Pa N
1 2 1 4
direct
0.0000 0.0000 0.0000
0.5000 0.0000 0.5000
0.5000 0.5000 0.0000
0.0000 0.5000 0.5000
0.2525 0.5000 0.2916
0.2533 0.0000 0.7303
0.7467 0.0000 0.2697
0.7475 0.5000 0.7084
```

## Properties
For the density of states at the Fermi level, the calculation gives 0.3830 states/eV per atom. As for the uncorrected formation energy: -1468.6 meV per atom. The raw total energy is -8.48 eV/atom.

# 2
Computed, not measured: a geometry-optimized Tm4SiBi structure at the PBE level of DFT.

Structure (POSCAR):
```
Tm4SiBi
1.0
5.7989 0.0000 0.0000
0.0000 8.5884 0.0000
-1.9659 0.0000 7.2938
Tm Si Bi
8 2 2
direct
0.0244 0.0516 0.2283
0.0244 0.4484 0.2283
0.3827 0.7500 0.4992
0.4556 0.2500 0.9965
0.5444 0.7500 0.0035
0.6173 0.2500 0.5008
0.9756 0.5516 0.7717
0.9756 0.9484 0.7717
0.0813 0.7500 0.0787
0.9187 0.2500 0.9213
0.1536 0.2500 0.5898
0.8464 0.7500 0.4102
```

## Properties
For the density of states at the Fermi level, the calculation gives 1.0871 states/eV per atom. As for the uncorrected formation energy: -220.1 meV per atom. The raw total energy is -4.75 eV/atom.

# 3
Computed, not measured: a geometry-optimized Ni2IrPdS structure at the PBE level of DFT.

Structure (POSCAR):
```
Ni2IrPdS
1.0
4.0521 0.0000 0.0000
0.0000 4.0521 0.0000
0.0000 0.0000 4.3830
Ni Ir Pd S
2 1 1 1
direct
0.0000 0.5000 0.0000
0.5000 0.0000 0.0000
0.0000 0.0000 0.5000
0.5000 0.5000 0.5000
0.5000 0.5000 0.0000
```

## Properties
For the density of states at the Fermi level, the calculation gives 1.3215 states/eV per atom. As for the uncorrected formation energy: 475.5 meV per atom. The raw total energy is -5.47 eV/atom.

# 4
Computed, not measured: a geometry-optimized Al2InTc structure at the PBE level of DFT.

Structure (POSCAR):
```
Al2InTc
1.0
1.5179 0.8763 8.9031
-1.5179 0.8763 8.9031
0.0000 -1.7527 8.9031
Al In Tc
2 1 1
direct
0.2380 0.2380 0.2380
0.7620 0.7620 0.7620
0.0000 0.0000 0.0000
0.5000 0.5000 0.5000
```

## Properties
For the density of states at the Fermi level, the calculation gives 0.4594 states/eV per atom. The raw total energy is -5.17 eV/atom. As for the formation energy: -0.019 eV/atom.

# 5
Computed, not measured: a geometry-optimized CsPm2AgTe4 structure at the PBE level of DFT.

Structure (POSCAR):
```
CsPm2AgTe4
1.0
2.2965 -7.9149 0.0000
2.2965 7.9149 0.0000
0.0000 0.0000 16.1063
Cs Pm Ag Te
2 4 2 8
direct
0.1183 0.8817 0.7500
0.8817 0.1183 0.2500
0.3691 0.6309 0.5664
0.3691 0.6309 0.9336
0.6309 0.3691 0.0664
0.6309 0.3691 0.4336
0.1631 0.8369 0.2500
0.8369 0.1631 0.7500
0.0000 0.0000 0.0000
0.0000 0.0000 0.5000
0.2612 0.7388 0.1034
0.2612 0.7388 0.3966
0.4376 0.5624 0.7500
0.5624 0.4376 0.2500
0.7388 0.2612 0.6034
0.7388 0.2612 0.8966
```

## Properties
As for the uncorrected formation energy: -1177.3 meV per atom. The raw total energy is -4.40 eV/atom.

# 6
Computed, not measured: a geometry-optimized Hf2BiSb2 structure at the PBE level of DFT.

Structure (POSCAR):
```
Hf2BiSb2
1.0
-2.6553 2.6553 4.8578
2.6553 -2.6553 4.8578
2.6553 2.6553 -4.8578
Hf Bi Sb
2 1 2
direct
0.2500 0.7500 0.5000
0.7500 0.2500 0.5000
0.0000 0.0000 0.0000
0.3557 0.3557 0.0000
0.6443 0.6443 0.0000
```

## Properties
For the density of states at the Fermi level, the calculation gives 0.9128 states/eV per atom. As for the uncorrected formation energy: -59.9 meV per atom. The raw total energy is -6.47 eV/atom. The value obtained for the energy above the lowest structure with this stoichiometry is 254 meV per atom.